<P>
VASP calculation (PBE) on a relaxed structure of SrV.

Calculated values
The density of states at the Fermi level is 1.05 states/eV per atom. The total magnetic moment is 0.00 μB/atom.

Lattice parameters (Å, degrees): 9.3732 9.3732 9.3732 90.00 90.00 90.00
Sites, in units of the cell vectors:
Sr (0.2153, 0.2153, 0.7847)
Sr (0.2153, 0.7847, 0.2153)
Sr (0.2847, 0.2847, 0.2847)
Sr (0.2847, 0.7153, 0.7153)
Sr (0.7153, 0.2847, 0.7153)
Sr (0.7153, 0.7153, 0.2847)
Sr (0.7847, 0.2153, 0.2153)
Sr (0.7847, 0.7847, 0.7847)
V (0.0854, 0.0854, 0.0854)
V (0.0854, 0.9146, 0.9146)
V (0.4146, 0.4146, 0.5854)
V (0.4146, 0.5854, 0.4146)
V (0.5854, 0.4146, 0.4146)
V (0.5854, 0.5854, 0.5854)
V (0.9146, 0.0854, 0.9146)
V (0.9146, 0.9146, 0.0854)

---

<Q>
VASP calculation (PBE) on a relaxed structure of SrV.

Calculated values
The density of states at the Fermi level is 1.82 states/eV per atom. The total magnetic moment is 2.46 μB/atom.

Lattice parameters (Å, degrees): 5.7375 5.7375 6.6788 90.00 90.00 120.00
Sites, in units of the cell vectors:
Sr (0.3333, 0.6667, 0.2500)
Sr (0.6667, 0.3333, 0.7500)
V (0.3333, 0.6667, 0.7500)
V (0.6667, 0.3333, 0.2500)

---

<R>
VASP calculation (PBE) on a relaxed structure of SrV.

Calculated values
The density of states at the Fermi level is 1.28 states/eV per atom. The total magnetic moment is 0.15 μB/atom.

Lattice parameters (Å, degrees): 3.6289 13.4522 7.6140 90.00 90.00 90.00
Sites, in units of the cell vectors:
Sr (0.0000, 0.0000, 0.0000)
Sr (0.0000, 0.2832, 0.1914)
Sr (0.0000, 0.7168, 0.1914)
Sr (0.5000, 0.2168, 0.6914)
Sr (0.5000, 0.5000, 0.5000)
Sr (0.5000, 0.7832, 0.6914)
V (0.0000, 0.0000, 0.5157)
V (0.0000, 0.4200, 0.8456)
V (0.0000, 0.5800, 0.8456)
V (0.5000, 0.0800, 0.3456)
V (0.5000, 0.5000, 0.0157)
V (0.5000, 0.9200, 0.3456)

---

Here is how they stack up, most stable first: <R>, <P>, <Q>.

---

<P>
VASP calculation (PBE) on a relaxed structure of SrV.

Calculated values
The density of states at the Fermi level is 0.93 states/eV per atom. The total magnetic moment is 0.00 μB/atom.

Lattice parameters (Å, degrees): 3.3437 6.0195 6.0245 107.40 94.30 94.22
Sites, in units of the cell vectors:
Sr (0.0030, 0.1917, 0.3085)
Sr (0.9970, 0.8083, 0.6915)
V (0.4099, 0.6190, 0.1182)
V (0.5901, 0.3810, 0.8818)

---

<Q>
VASP calculation (PBE) on a relaxed structure of SrV.

Calculated values
The density of states at the Fermi level is 2.76 states/eV per atom. The total magnetic moment is 2.60 μB/atom.

Lattice parameters (Å, degrees): 7.4430 7.4430 7.4430 90.00 90.00 90.00
Sites, in units of the cell vectors:
Sr (0.0000, 0.0000, 0.0000)
Sr (0.0000, 0.5000, 0.5000)
Sr (0.5000, 0.0000, 0.5000)
Sr (0.5000, 0.5000, 0.0000)
V (0.2500, 0.2500, 0.2500)
V (0.2500, 0.7500, 0.7500)
V (0.7500, 0.2500, 0.7500)
V (0.7500, 0.7500, 0.2500)

---

<R>
VASP calculation (PBE) on a relaxed structure of SrV.

Calculated values
The density of states at the Fermi level is 1.54 states/eV per atom. The total magnetic moment is 0.00 μB/atom.

Lattice parameters (Å, degrees): 11.9962 11.9962 3.8263 90.00 90.00 120.00
Sites, in units of the cell vectors:
Sr (0.1790, 0.3580, 0.2500)
Sr (0.1790, 0.8210, 0.2500)
Sr (0.3580, 0.1790, 0.7500)
Sr (0.6420, 0.8210, 0.2500)
Sr (0.8210, 0.1790, 0.7500)
Sr (0.8210, 0.6420, 0.7500)
V (0.0374, 0.5187, 0.2500)
V (0.4813, 0.5187, 0.2500)
V (0.4813, 0.9626, 0.2500)
V (0.5187, 0.0374, 0.7500)
V (0.5187, 0.4813, 0.7500)
V (0.9626, 0.4813, 0.7500)

---

<S>
VASP calculation (PBE) on a relaxed structure of SrV.

Calculated values
The density of states at the Fermi level is 1.61 states/eV per atom. The total magnetic moment is 0.00 μB/atom.

Lattice parameters (Å, degrees): 11.9852 11.9852 3.3787 90.00 90.00 90.00
Sites, in units of the cell vectors:
Sr (0.1135, 0.1881, 0.0000)
Sr (0.1881, 0.8865, 0.0000)
Sr (0.3119, 0.6135, 0.5000)
Sr (0.3865, 0.3119, 0.5000)
Sr (0.6135, 0.6881, 0.5000)
Sr (0.6881, 0.3865, 0.5000)
Sr (0.8119, 0.1135, 0.0000)
Sr (0.8865, 0.8119, 0.0000)
V (0.0580, 0.5915, 0.0000)
V (0.0915, 0.4420, 0.5000)
V (0.4085, 0.0580, 0.0000)
V (0.4420, 0.9085, 0.5000)
V (0.5580, 0.0915, 0.5000)
V (0.5915, 0.9420, 0.0000)
V (0.9085, 0.5580, 0.5000)
V (0.9420, 0.4085, 0.0000)

---

Here is how they stack up, most stable first: <S>, <P>, <R>, <Q>.

---

<P>
VASP calculation (PBE) on a relaxed structure of SrV.

Calculated values
The density of states at the Fermi level is 1.34 states/eV per atom. The total magnetic moment is 0.00 μB/atom.

Lattice parameters (Å, degrees): 6.0402 10.2260 7.7783 90.00 90.00 90.00
Sites, in units of the cell vectors:
Sr (0.2483, 0.0753, 0.1009)
Sr (0.2483, 0.4247, 0.1009)
Sr (0.2517, 0.5753, 0.6009)
Sr (0.2517, 0.9247, 0.6009)
Sr (0.7483, 0.0753, 0.3991)
Sr (0.7483, 0.4247, 0.3991)
Sr (0.7517, 0.5753, 0.8991)
Sr (0.7517, 0.9247, 0.8991)
V (0.0439, 0.7500, 0.2311)
V (0.2367, 0.7500, 0.0394)
V (0.2633, 0.2500, 0.5394)
V (0.4561, 0.2500, 0.7311)
V (0.5439, 0.7500, 0.2689)
V (0.7367, 0.7500, 0.4606)
V (0.7633, 0.2500, 0.9606)
V (0.9561, 0.2500, 0.7689)

---

<Q>
VASP calculation (PBE) on a relaxed structure of SrV.

Calculated values
The density of states at the Fermi level is 1.23 states/eV per atom. The total magnetic moment is 1.88 μB/atom.

Lattice parameters (Å, degrees): 3.6736 3.6736 5.3420 90.00 90.00 120.00
Sites, in units of the cell vectors:
Sr (0.0000, 0.0000, 0.0000)
V (0.6667, 0.3333, 0.5000)

---

Here is how they stack up, most stable first: <P>, <Q>.

---

<P>
VASP calculation (PBE) on a relaxed structure of SrV.

Calculated values
The density of states at the Fermi level is 1.05 states/eV per atom. The total magnetic moment is 0.08 μB/atom.

Lattice parameters (Å, degrees): 4.1744 14.8682 6.5659 90.00 90.00 90.00
Sites, in units of the cell vectors:
Sr (0.2500, 0.0273, 0.2458)
Sr (0.2500, 0.4727, 0.2458)
Sr (0.2500, 0.7500, 0.4777)
Sr (0.7500, 0.2500, 0.5223)
Sr (0.7500, 0.5273, 0.7542)
Sr (0.7500, 0.9727, 0.7542)
V (0.2500, 0.2500, 0.0122)
V (0.2500, 0.6765, 0.9749)
V (0.2500, 0.8235, 0.9749)
V (0.7500, 0.1765, 0.0251)
V (0.7500, 0.3235, 0.0251)
V (0.7500, 0.7500, 0.9878)

---

<Q>
VASP calculation (PBE) on a relaxed structure of SrV.

Calculated values
The density of states at the Fermi level is 1.31 states/eV per atom. The total magnetic moment is 0.00 μB/atom.

Lattice parameters (Å, degrees): 9.1298 8.1739 5.9826 78.65 61.38 39.98
Sites, in units of the cell vectors:
Sr (0.0437, 0.7063, 0.0437)
Sr (0.2937, 0.9563, 0.2937)
Sr (0.7063, 0.0437, 0.7063)
Sr (0.9563, 0.2937, 0.9563)
V (0.3137, 0.3137, 0.4363)
V (0.4363, 0.4363, 0.3137)
V (0.5637, 0.5637, 0.6863)
V (0.6863, 0.6863, 0.5637)

---

<R>
VASP calculation (PBE) on a relaxed structure of SrV.

Calculated values
The density of states at the Fermi level is 2.63 states/eV per atom. The total magnetic moment is 2.53 μB/atom.

Lattice parameters (Å, degrees): 9.2835 9.2835 9.2835 90.00 90.00 90.00
Sites, in units of the cell vectors:
Sr (0.0000, 0.2500, 0.5000)
Sr (0.0000, 0.7500, 0.5000)
Sr (0.2500, 0.5000, 0.0000)
Sr (0.5000, 0.0000, 0.2500)
Sr (0.5000, 0.0000, 0.7500)
Sr (0.7500, 0.5000, 0.0000)
V (0.0000, 0.5000, 0.2500)
V (0.0000, 0.5000, 0.7500)
V (0.2500, 0.0000, 0.5000)
V (0.5000, 0.2500, 0.0000)
V (0.5000, 0.7500, 0.0000)
V (0.7500, 0.0000, 0.5000)

---

<S>
VASP calculation (PBE) on a relaxed structure of SrV.

Calculated values
The density of states at the Fermi level is 1.32 states/eV per atom. The total magnetic moment is 2.37 μB/atom.

Lattice parameters (Å, degrees): 3.9853 3.9853 4.0106 90.00 90.00 90.00
Sites, in units of the cell vectors:
Sr (0.0000, 0.0000, 0.0000)
V (0.5000, 0.5000, 0.5000)

---

Here is how they stack up, most stable first: <P>, <Q>, <S>, <R>.

---

<P>
VASP calculation (PBE) on a relaxed structure of SrV.

Calculated values
The density of states at the Fermi level is 1.33 states/eV per atom. The total magnetic moment is 1.83 μB/atom.

Lattice parameters (Å, degrees): 3.6387 3.6387 16.0777 90.00 90.00 120.00
Sites, in units of the cell vectors:
Sr (0.0000, 0.0000, 0.0000)
Sr (0.3333, 0.6667, 0.6667)
Sr (0.6667, 0.3333, 0.3333)
V (0.0000, 0.0000, 0.5000)
V (0.3333, 0.6667, 0.1667)
V (0.6667, 0.3333, 0.8333)

---

<Q>
VASP calculation (PBE) on a relaxed structure of SrV.

Calculated values
The density of states at the Fermi level is 0.85 states/eV per atom. The total magnetic moment is 0.00 μB/atom.

Lattice parameters (Å, degrees): 5.7912 5.7912 4.3618 90.00 90.00 120.00
Sites, in units of the cell vectors:
Sr (0.0000, 0.0000, 0.0000)
Sr (0.3333, 0.6667, 0.4823)
V (0.6667, 0.3333, 0.0359)
V (0.6667, 0.3333, 0.4530)

---

<R>
VASP calculation (PBE) on a relaxed structure of SrV.

Calculated values
The density of states at the Fermi level is 2.44 states/eV per atom. The total magnetic moment is 2.24 μB/atom.

Lattice parameters (Å, degrees): 6.6870 6.6870 6.6870 90.00 90.00 90.00
Sites, in units of the cell vectors:
Sr (0.0000, 0.0000, 0.0000)
Sr (0.0000, 0.5000, 0.5000)
Sr (0.5000, 0.0000, 0.5000)
Sr (0.5000, 0.5000, 0.0000)
V (0.0000, 0.0000, 0.5000)
V (0.0000, 0.5000, 0.0000)
V (0.5000, 0.0000, 0.0000)
V (0.5000, 0.5000, 0.5000)

---

Here is how they stack up, most stable first: <Q>, <P>, <R>.

---

<P>
VASP calculation (PBE) on a relaxed structure of SrV.

Calculated values
The density of states at the Fermi level is 1.27 states/eV per atom. The total magnetic moment is 0.17 μB/atom.

Lattice parameters (Å, degrees): 12.2138 12.2138 3.9722 90.00 90.00 90.00
Sites, in units of the cell vectors:
Sr (0.0000, 0.2558, 0.0000)
Sr (0.0000, 0.7442, 0.0000)
Sr (0.2442, 0.5000, 0.5000)
Sr (0.2558, 0.0000, 0.0000)
Sr (0.5000, 0.2442, 0.5000)
Sr (0.5000, 0.7558, 0.5000)
Sr (0.7442, 0.0000, 0.0000)
Sr (0.7558, 0.5000, 0.5000)
V (0.2249, 0.2249, 0.5000)
V (0.2249, 0.7751, 0.5000)
V (0.2751, 0.2751, 0.0000)
V (0.2751, 0.7249, 0.0000)
V (0.7249, 0.2751, 0.0000)
V (0.7249, 0.7249, 0.0000)
V (0.7751, 0.2249, 0.5000)
V (0.7751, 0.7751, 0.5000)

---

<Q>
VASP calculation (PBE) on a relaxed structure of SrV.

Calculated values
The density of states at the Fermi level is 0.90 states/eV per atom. The total magnetic moment is 0.00 μB/atom.

Lattice parameters (Å, degrees): 6.6583 6.6583 6.3946 90.00 90.00 90.00
Sites, in units of the cell vectors:
Sr (0.1766, 0.1766, 0.0000)
Sr (0.3234, 0.6766, 0.5000)
Sr (0.6766, 0.3234, 0.5000)
Sr (0.8234, 0.8234, 0.0000)
V (0.0971, 0.0971, 0.5000)
V (0.4029, 0.5971, 0.0000)
V (0.5971, 0.4029, 0.0000)
V (0.9029, 0.9029, 0.5000)

---

Here is how they stack up, most stable first: <P>, <Q>.

---

<P>
VASP calculation (PBE) on a relaxed structure of SrY2V.

Calculated values
The density of states at the Fermi level is 1.15 states/eV per atom. The total magnetic moment is 1.04 μB/atom.

Lattice parameters (Å, degrees): 7.8364 7.8364 7.8364 90.00 90.00 90.00
Sites, in units of the cell vectors:
Sr (0.0000, 0.0000, 0.0000)
Sr (0.0000, 0.5000, 0.5000)
Sr (0.5000, 0.0000, 0.5000)
Sr (0.5000, 0.5000, 0.0000)
Y (0.2500, 0.2500, 0.2500)
Y (0.2500, 0.2500, 0.7500)
Y (0.2500, 0.7500, 0.2500)
Y (0.2500, 0.7500, 0.7500)
Y (0.7500, 0.2500, 0.2500)
Y (0.7500, 0.2500, 0.7500)
Y (0.7500, 0.7500, 0.2500)
Y (0.7500, 0.7500, 0.7500)
V (0.0000, 0.0000, 0.5000)
V (0.0000, 0.5000, 0.0000)
V (0.5000, 0.0000, 0.0000)
V (0.5000, 0.5000, 0.5000)

---

<Q>
VASP calculation (PBE) on a relaxed structure of SrY2V.

Calculated values
The density of states at the Fermi level is 0.78 states/eV per atom. The total magnetic moment is 0.27 μB/atom.

Lattice parameters (Å, degrees): 7.8120 7.8120 11.0634 90.00 90.00 90.00
Sites, in units of the cell vectors:
Sr (0.0000, 0.2500, 0.3750)
Sr (0.0000, 0.7500, 0.6250)
Sr (0.5000, 0.2500, 0.1250)
Sr (0.5000, 0.7500, 0.8750)
Y (0.0000, 0.0000, 0.0000)
Y (0.0000, 0.5000, 0.0000)
Y (0.2500, 0.2500, 0.7500)
Y (0.2500, 0.7500, 0.2500)
Y (0.5000, 0.0000, 0.5000)
Y (0.5000, 0.5000, 0.5000)
Y (0.7500, 0.2500, 0.7500)
Y (0.7500, 0.7500, 0.2500)
V (0.0000, 0.2500, 0.8750)
V (0.0000, 0.7500, 0.1250)
V (0.5000, 0.2500, 0.6250)
V (0.5000, 0.7500, 0.3750)

---

Here is how they stack up, most stable first: <P>, <Q>.

---

<P>
VASP calculation (PBE) on a relaxed structure of SrYV2.

Calculated values
The density of states at the Fermi level is 1.90 states/eV per atom. The total magnetic moment is 1.92 μB/atom.

Lattice parameters (Å, degrees): 7.5319 7.5319 7.5319 90.00 90.00 90.00
Sites, in units of the cell vectors:
Sr (0.0000, 0.0000, 0.0000)
Sr (0.0000, 0.5000, 0.5000)
Sr (0.5000, 0.0000, 0.5000)
Sr (0.5000, 0.5000, 0.0000)
Y (0.0000, 0.0000, 0.5000)
Y (0.0000, 0.5000, 0.0000)
Y (0.5000, 0.0000, 0.0000)
Y (0.5000, 0.5000, 0.5000)
V (0.2500, 0.2500, 0.2500)
V (0.2500, 0.2500, 0.7500)
V (0.2500, 0.7500, 0.2500)
V (0.2500, 0.7500, 0.7500)
V (0.7500, 0.2500, 0.2500)
V (0.7500, 0.2500, 0.7500)
V (0.7500, 0.7500, 0.2500)
V (0.7500, 0.7500, 0.7500)

---

<Q>
VASP calculation (PBE) on a relaxed structure of SrYV2.

Calculated values
The density of states at the Fermi level is 1.47 states/eV per atom. The total magnetic moment is 0.37 μB/atom.

Lattice parameters (Å, degrees): 4.7351 4.7351 20.7878 90.00 90.00 90.00
Sites, in units of the cell vectors:
Sr (0.0000, 0.2500, 0.3750)
Sr (0.0000, 0.7500, 0.6250)
Sr (0.5000, 0.2500, 0.1250)
Sr (0.5000, 0.7500, 0.8750)
Y (0.0000, 0.2500, 0.8750)
Y (0.0000, 0.7500, 0.1250)
Y (0.5000, 0.2500, 0.6250)
Y (0.5000, 0.7500, 0.3750)
V (0.0000, 0.0000, 0.0000)
V (0.0000, 0.5000, 0.0000)
V (0.2500, 0.2500, 0.7500)
V (0.2500, 0.7500, 0.2500)
V (0.5000, 0.0000, 0.5000)
V (0.5000, 0.5000, 0.5000)
V (0.7500, 0.2500, 0.7500)
V (0.7500, 0.7500, 0.2500)

---

Here is how they stack up, most stable first: <P>, <Q>.